KPPdCl2 | PBE | relaxed Values from VASP.

Geometry as Quantum ESPRESSO input:
```
&SYSTEM
  ibrav = 0, nat = 5, ntyp = 4
/
ATOMIC_SPECIES
K 39.10 K.upf
Cl 35.45 Cl.upf
P 30.97 P.upf
Pd 106.42 Pd.upf
CELL_PARAMETERS angstrom
-3.8529 -2.9042 -2.3419
3.0326 -0.4773 -4.3976
1.8132 -3.7412 1.6564
ATOMIC_POSITIONS angstrom
K 0.4964 -3.5613 -2.5415
Cl -1.9265 -1.4521 -1.1709
Cl 1.5163 -0.2386 -2.1988
P 0.9066 -1.8706 0.8282
Pd 0.0000 0.0000 0.0000
```

Total energy (eV per atom): -3.5985
Formation energy (no corrections) (meV/atom): -520
Energy relative to the lowest polymorph listed for this composition (eV per atom): 0.000
Symmetry: No. 123
Fermi-level density of states (states/eV/atom): 0.4535